Density functional theory data (PBE) for a relaxed structure of LiCeInCl6.

a b c (Å): 6.8272 6.8272 13.6246
angles (deg): 90.00 90.00 120.00
Last column: nearest neighbours and their distance in Å.
Fractional positions:
1 Li 0.3333 0.6667 0.2500  6 Cl 2.62
2 Li 0.6667 0.3333 0.7500  6 Cl 2.62
3 Ce 0.3333 0.6667 0.7500  6 Cl 2.65
4 Ce 0.6667 0.3333 0.2500  6 Cl 2.65
5 In 0.0000 0.0000 0.0000  6 Cl 3.14
6 In 0.0000 0.0000 0.5000  6 Cl 3.14
7 Cl 0.0029 0.3668 0.1405  1 Li 2.62, 1 Ce 2.65
8 Cl 0.0029 0.6361 0.3595  1 Li 2.62, 1 Ce 2.65
9 Cl 0.3639 0.3668 0.3595  1 Li 2.62, 1 Ce 2.65
10 Cl 0.3639 0.9971 0.1405  1 Li 2.62, 1 Ce 2.65
11 Cl 0.3668 0.0029 0.6405  1 Li 2.62, 1 Ce 2.65
12 Cl 0.3668 0.3639 0.8595  1 Li 2.62, 1 Ce 2.65
13 Cl 0.6332 0.6361 0.1405  1 Li 2.62, 1 Ce 2.65
14 Cl 0.6332 0.9971 0.3595  1 Li 2.62, 1 Ce 2.65
15 Cl 0.6361 0.0029 0.8595  1 Li 2.62, 1 Ce 2.65
16 Cl 0.6361 0.6332 0.6405  1 Li 2.62, 1 Ce 2.65
17 Cl 0.9971 0.3639 0.6405  1 Li 2.62, 1 Ce 2.65
18 Cl 0.9971 0.6332 0.8595  1 Li 2.62, 1 Ce 2.65

## Properties
* size of the total moment: 0.00 Bohr magnetons per cell
* formation energy without anion corrections: -1467 kJ/mol of formula units